{
  "formula": "TmZrSc2As4",
  "functional": "PBE-GGA",
  "state": "relaxed",
  "formation_energy_kj_per_mol_fu": -1042,
  "spacegroup": "P2/m",
  "lattice_angstrom": [[6.7661, 0.0000, 0.0000], [0.0000, 3.9197, 0.0000], [-2.2517, 0.0000, 6.4065]],
  "species": ["Tm", "Zr", "Sc", "Sc", "As", "As", "As", "As"],
  "frac_coords": [[0.0000, 0.0000, 0.0000], [0.0000, 0.5000, 0.5000], [0.5000, 0.0000, 0.5000], [0.5000, 0.5000, 0.0000], [0.2548, 0.0000, 0.7469], [0.2581, 0.5000, 0.2576], [0.7419, 0.5000, 0.7424], [0.7452, 0.0000, 0.2531]]
}